Record 1
Density functional theory data (PBE) for a geometry-optimized SiB2N structure.

Properties
Its density of states at the Fermi level is 1.66 states/eV/f.u. The space-group type is I-42d, No. 122. The relative energy among the computed polymorphs comes out at 0 meV per atom.

Lattice parameters (Å, degrees): 4.266 4.266 5.019 64.85 64.85 90.00
Atoms (fractional coordinates):
Si 0.000 0.000 0.000
Si 0.750 0.250 0.500
B 0.543 0.125 0.250
B 0.207 0.625 0.250
B 0.375 0.457 0.750
B 0.875 0.793 0.750
N 0.500 0.500 0.000
N 0.250 0.750 0.500


Record 2
Density functional theory data (PBE) for a geometry-optimized LaSc2AlCo structure.

Properties
Its density of states at the Fermi level is 13.12 states/eV/f.u. The space-group type is P4/mmm, No. 123. The relative energy among the computed polymorphs comes out at 1097 meV per atom. For the energy of formation from the pure elements, the calculation gives 4.4 eV/f.u.

Lattice parameters (Å, degrees): 5.034 5.734 5.034 90.00 90.00 90.00
Atoms (fractional coordinates):
Sc 0.000 0.000 0.500
Sc 0.500 0.000 0.000
Co 0.500 0.500 0.500
Al 0.000 0.000 0.000
La 0.000 0.500 0.000


Q: Number 1 is which compound?
A: SiB2N